Entry 1:
The following is a DFT calculation (PBE-GGA) of a relaxed structure of CrMoW2.

Unit cell a=4.3809 b=2.7105 c=5.1660 alpha=80.04 beta=90.00 gamma=90.00
Positions (direct):
Cr: 0.0000 0.5017 0.4986
Mo: 0.5000 0.7481 0.7457
W: 0.0000 0.9970 0.9998
W: 0.5000 0.2533 0.2560

Its relative energy among the computed polymorphs is 0.032 eV/atom. The value obtained for the calculated total energy is -11.53 eV per atom. Its space-group type is Pm (6). The formation energy is 0.063 eV/atom.


Entry 2:
The following is a DFT calculation (PBE-GGA) of a relaxed structure of CrMo2W.

Unit cell a=5.1370 b=5.1370 c=4.4194 alpha=64.54 beta=64.54 gamma=35.12
Positions (direct):
Cr: 0.7506 0.7506 0.7494
Mo: 0.0023 0.0023 0.9976
Mo: 0.2500 0.2500 0.2500
W: 0.4970 0.4970 0.5030

Its relative energy among the computed polymorphs is 0.012 eV/atom. The value obtained for the calculated total energy is -11.01 eV per atom. Its space-group type is Imm2 (44). The formation energy is 0.051 eV/atom.


Entry 3:
The following is a DFT calculation (PBE-GGA) of a relaxed structure of CrMo2W.

Unit cell a=3.1157 b=4.3724 c=4.3954 alpha=90.00 beta=90.00 gamma=90.00
Positions (direct):
Cr: 0.0000 0.5000 0.5000
Mo: 0.0000 0.0000 0.0000
Mo: 0.5000 0.5000 0.0000
W: 0.5000 0.0000 0.5000

Its relative energy among the computed polymorphs is 0.009 eV/atom. The value obtained for the calculated total energy is -11.01 eV per atom. Its space-group type is Pmmm (47). The formation energy is 0.049 eV/atom.